P) Here is crystalline Sr3HfSb at its relaxed geometry from the Alexandria database. Energies are from GGA-PBE.

Cell: 6.217 6.217 6.217 Å, 90.00 90.00 90.00°
Space group Pm-3m (No. 221)
Unique sites:
Sr (0.000, 0.000, 0.500) [3 per cell]
Hf (0.500, 0.500, 0.500) [1 per cell]
Sb (0.000, 0.000, 0.000) [1 per cell]

***

Q) Here is crystalline Sr3HfSb at its relaxed geometry from the Alexandria database. Energies are from GGA-PBE.

Cell: 5.974 5.974 5.974 Å, 90.00 90.00 90.00°
Space group Pm-3m (No. 221)
Unique sites:
Sr (0.000, 0.000, 0.500) [3 per cell]
Hf (0.000, 0.000, 0.000) [1 per cell]
Sb (0.500, 0.500, 0.500) [1 per cell]

***

Calculated relative energies: P) 0.000; Q) 0.354, given in eV/atom

***

P) Here is crystalline HfTaSb2 at its relaxed geometry from the Alexandria database. Energies are from GGA-PBE.

Cell: 6.942 6.942 6.942 Å, 90.00 90.00 90.00°
Space group Fm-3m (No. 225)
Unique sites:
Hf (0.000, 0.000, 0.000) [4 per cell]
Ta (0.000, 0.000, 0.500) [4 per cell]
Sb (0.250, 0.250, 0.250) [8 per cell]

***

Q) Here is crystalline HfTaSb2 at its relaxed geometry from the Alexandria database. Energies are from GGA-PBE.

Cell: 3.1875 3.1875 31.3033 Å, 90.00 90.00 120.00°
Space group R-3m (No. 166, hexagonal axes)
Unique sites:
Hf (0.0000, 0.0000, 0.0000) [3 per cell]
Ta (0.0000, 0.0000, 0.5000) [3 per cell]
Sb (0.0000, 0.0000, 0.4090) [6 per cell]

***

Calculated relative energies: P) 0.000; Q) 0.374, given in eV/atom

***

P) Here is crystalline Hf3TaSb at its relaxed geometry from the Alexandria database. Energies are from GGA-PBE.

Cell: 5.099 5.099 5.099 Å, 90.00 90.00 90.00°
Space group Pm-3m (No. 221)
Unique sites:
Hf (0.000, 0.000, 0.500) [3 per cell]
Ta (0.000, 0.000, 0.000) [1 per cell]
Sb (0.500, 0.500, 0.500) [1 per cell]

***

Q) Here is crystalline Hf3TaSb at its relaxed geometry from the Alexandria database. Energies are from GGA-PBE.

Cell: 5.127 5.127 5.127 Å, 90.00 90.00 90.00°
Space group Pm-3m (No. 221)
Unique sites:
Hf (0.000, 0.000, 0.500) [3 per cell]
Ta (0.500, 0.500, 0.500) [1 per cell]
Sb (0.000, 0.000, 0.000) [1 per cell]

***

Calculated relative energies: P) 0.000; Q) 0.288, given in eV/atom

***

P) Here is crystalline HfTcSb at its relaxed geometry from the Alexandria database. Energies are from GGA-PBE.

Cell: 5.561 4.509 5.565 Å, 90.00 111.86 90.00°
Space group P2_1/m (No. 11)
Unique sites:
Hf (0.114, 0.250, 0.378) [2 per cell]
Tc (0.376, 0.750, 0.627) [2 per cell]
Sb (0.352, 0.750, 0.121) [2 per cell]

***

Q) Here is crystalline HfTcSb at its relaxed geometry from the Alexandria database. Energies are from GGA-PBE.

Cell: 3.274 3.274 10.723 Å, 90.00 90.00 90.00°
Space group I4mm (No. 107)
Unique sites:
Hf (0.000, 0.000, 0.000) [2 per cell]
Tc (0.000, 0.000, 0.657) [2 per cell]
Sb (0.000, 0.000, 0.298) [2 per cell]

***

Calculated relative energies: P) 0.071; Q) 0.000, given in eV/atom

***

P) Here is crystalline HfTc3Sb at its relaxed geometry from the Alexandria database. Energies are from GGA-PBE.

Cell: 4.763 4.763 4.763 Å, 90.00 90.00 90.00°
Space group Pm-3m (No. 221)
Unique sites:
Hf (0.000, 0.000, 0.000) [1 per cell]
Tc (0.000, 0.500, 0.500) [3 per cell]
Sb (0.500, 0.500, 0.500) [1 per cell]

***

Q) Here is crystalline HfTc3Sb at its relaxed geometry from the Alexandria database. Energies are from GGA-PBE.

Cell: 4.798 4.798 4.798 Å, 90.00 90.00 90.00°
Space group Pm-3m (No. 221)
Unique sites:
Hf (0.000, 0.000, 0.000) [1 per cell]
Tc (0.000, 0.000, 0.500) [3 per cell]
Sb (0.500, 0.500, 0.500) [1 per cell]

***

Calculated relative energies: P) 0.000; Q) 0.267, given in eV/atom

***

P) Here is crystalline HfTcSb2 at its relaxed geometry from the Alexandria database. Energies are from GGA-PBE.

Cell: 4.264 4.264 19.546 Å, 90.00 90.00 90.00°
Space group I-42d (No. 122)
Unique sites:
Hf (0.000, 0.000, 0.000) [4 per cell]
Tc (0.000, 0.000, 0.500) [4 per cell]
Sb (0.234, 0.250, 0.625) [8 per cell]

***

Q) Here is crystalline HfTcSb2 at its relaxed geometry from the Alexandria database. Energies are from GGA-PBE.

Cell: 6.836 6.836 6.836 Å, 90.00 90.00 90.00°
Space group Fm-3m (No. 225)
Unique sites:
Hf (0.000, 0.000, 0.000) [4 per cell]
Tc (0.000, 0.000, 0.500) [4 per cell]
Sb (0.250, 0.250, 0.250) [8 per cell]

***

Calculated relative energies: P) 0.253; Q) 0.000, given in eV/atom

***

P) Here is crystalline Hf3SbTe at its relaxed geometry from the Alexandria database. Energies are from GGA-PBE.

Cell: 5.217 5.217 5.217 Å, 90.00 90.00 90.00°
Space group Pm-3m (No. 221)
Unique sites:
Hf (0.000, 0.000, 0.500) [3 per cell]
Sb (0.500, 0.500, 0.500) [1 per cell]
Te (0.000, 0.000, 0.000) [1 per cell]

***

Q) Here is crystalline Hf3SbTe at its relaxed geometry from the Alexandria database. Energies are from GGA-PBE.

Cell: 14.965 3.703 10.259 Å, 90.00 101.48 90.00°
Space group C2/m (No. 12)
Unique sites:
Hf (0.007, 0.000, 0.150) [4 per cell]
Hf (0.135, 0.500, 0.018) [4 per cell]
Hf (0.181, 0.000, 0.534) [4 per cell]
Sb (0.122, 0.500, 0.320) [4 per cell]
Te (0.182, 0.000, 0.822) [4 per cell]

***

Calculated relative energies: P) 0.981; Q) 0.000, given in eV/atom

***

P) Here is crystalline HfSbTe3 at its relaxed geometry from the Alexandria database. Energies are from GGA-PBE.

Cell: 5.530 5.530 5.530 Å, 90.00 90.00 90.00°
Space group Pm-3m (No. 221)
Unique sites:
Hf (0.000, 0.000, 0.000) [1 per cell]
Sb (0.500, 0.500, 0.500) [1 per cell]
Te (0.000, 0.000, 0.500) [3 per cell]

***

Q) Here is crystalline HfSbTe3 at its relaxed geometry from the Alexandria database. Energies are from GGA-PBE.

Cell: 5.593 5.593 5.593 Å, 90.00 90.00 90.00°
Space group Pm-3m (No. 221)
Unique sites:
Hf (0.000, 0.000, 0.000) [1 per cell]
Sb (0.500, 0.500, 0.500) [1 per cell]
Te (0.000, 0.500, 0.500) [3 per cell]

***

Calculated relative energies: P) 0.000; Q) 0.741, given in eV/atom